## SbTe2HOs (SCAN)

Data for a crystal of SbTe2HOs relaxed with PBEsol.

Results
Space-group type: P4/mmm
N(E_F) in states/eV per cell: 3.0
Magnetization in μB per cell: 0.5
VASP energy in eV per cell: -181.2

Lattice parameters (Å, degrees): 4.9154 4.9154 3.7722 90.00 90.00 90.00
Positions (direct):
1 Sb 0.0000 0.0000 0.0000
2 Te 0.0000 0.5000 0.5000
3 Te 0.5000 0.0000 0.5000
4 H 0.0000 0.0000 0.5000
5 Os 0.5000 0.5000 0.0000



## CaI2O (SCAN)

Data for a crystal of CaI2O relaxed with PBEsol.

Results
Space-group type: Fm-3m
N(E_F) in states/eV per cell: 5.6
Energy relative to the elements, uncorrected in kJ/mol of atoms: -51
Magnetization in μB per cell: 2.0

Lattice parameters (Å, degrees): 5.2926 5.2926 5.2926 60.00 60.00 60.00
Positions (direct):
1 Ca 0.0000 0.0000 0.0000
2 I 0.2500 0.2500 0.2500
3 I 0.7500 0.7500 0.7500
4 O 0.5000 0.5000 0.5000



## MgZn2Cu9 (SCAN)

Data for a crystal of MgZn2Cu9 relaxed with PBEsol.

Results
ΔH_f (0 K) in meV per atom: 17
Space-group type: R-3m
N(E_F) in states/eV per cell: 3.3
Magnetization in μB per cell: 0.0

Lattice parameters (Å, degrees): 8.2904 8.2904 8.2904 33.56 33.56 33.56
Positions (direct):
1 Mg 0.0000 0.0000 0.0000
2 Zn 0.1468 0.1468 0.1468
3 Zn 0.8532 0.8532 0.8532
4 Cu 0.0817 0.5877 0.5877
5 Cu 0.3337 0.3337 0.3337
6 Cu 0.4123 0.4123 0.9183
7 Cu 0.4123 0.9183 0.4123
8 Cu 0.5000 0.5000 0.5000
9 Cu 0.5877 0.0817 0.5877
10 Cu 0.5877 0.5877 0.0817
11 Cu 0.6663 0.6663 0.6663
12 Cu 0.9183 0.4123 0.4123



## KCdHg2 (SCAN)

Data for a crystal of KCdHg2 relaxed with PBEsol.

Results
ΔH_f (0 K) in meV per atom: -152
Space-group type: I-4m2
N(E_F) in states/eV per cell: 1.7
Magnetization in μB per cell: 0.0

Lattice parameters (Å, degrees): 5.6639 5.6639 5.6639 129.13 129.13 74.81
Positions (direct):
1 K 0.0000 0.0000 0.0000
2 Cd 0.7500 0.2500 0.5000
3 Hg 0.2500 0.7500 0.5000
4 Hg 0.5000 0.5000 0.0000



## RePtW2 (SCAN)

Data for a crystal of RePtW2 relaxed with PBEsol.

Results
ΔH_f (0 K) in meV per atom: 41
Space-group type: Cmm2
N(E_F) in states/eV per cell: 2.3
Magnetization in μB per cell: 0.0

Lattice parameters (Å, degrees): 2.6919 2.6919 8.6795 90.00 90.00 104.40
Positions (direct):
1 Re 0.0000 0.0000 0.0000
2 Pt 0.5000 0.5000 0.7489
3 W 0.0000 0.0000 0.5027
4 W 0.5000 0.5000 0.2473



## Y2GeIN (SCAN)

Data for a crystal of Y2GeIN relaxed with PBEsol.

Results
Space-group type: P4/mmm
N(E_F) in states/eV per cell: 2.5
Energy relative to the elements, uncorrected in kJ/mol of atoms: -1
Magnetization in μB per cell: 0.0

Lattice parameters (Å, degrees): 5.4496 5.4496 3.8713 90.00 90.00 90.00
Positions (direct):
1 Y 0.0000 0.5000 0.0000
2 Y 0.5000 0.0000 0.0000
3 Ge 0.0000 0.0000 0.0000
4 I 0.5000 0.5000 0.5000
5 N 0.0000 0.0000 0.5000



## Zr6Al7Co16 (SCAN)

Data for a crystal of Zr6Al7Co16 relaxed with PBEsol.

Results
ΔH_f (0 K) in meV per atom: -429
Space-group type: Fm-3m
N(E_F) in states/eV per cell: 16.9
Magnetization in μB per cell: 7.2

Lattice parameters (Å, degrees): 8.1306 8.1306 8.1306 60.00 60.00 60.00
Positions (direct):
1 Zr 0.2108 0.2108 0.7892
2 Zr 0.2108 0.7892 0.2108
3 Zr 0.2108 0.7892 0.7892
4 Zr 0.7892 0.2108 0.2108
5 Zr 0.7892 0.2108 0.7892
6 Zr 0.7892 0.7892 0.2108
7 Al 0.0000 0.0000 0.5000
8 Al 0.0000 0.5000 0.0000
9 Al 0.0000 0.5000 0.5000
10 Al 0.5000 0.0000 0.0000
11 Al 0.5000 0.0000 0.5000
12 Al 0.5000 0.5000 0.0000
13 Al 0.5000 0.5000 0.5000
14 Co 0.1305 0.6232 0.6232
15 Co 0.1752 0.1752 0.1752
16 Co 0.1752 0.1752 0.4743
17 Co 0.1752 0.4743 0.1752
18 Co 0.3768 0.3768 0.3768
19 Co 0.3768 0.3768 0.8695
20 Co 0.3768 0.8695 0.3768
21 Co 0.4743 0.1752 0.1752
22 Co 0.5257 0.8248 0.8248
23 Co 0.6232 0.1305 0.6232
24 Co 0.6232 0.6232 0.1305
25 Co 0.6232 0.6232 0.6232
26 Co 0.8248 0.5257 0.8248
27 Co 0.8248 0.8248 0.5257
28 Co 0.8248 0.8248 0.8248
29 Co 0.8695 0.3768 0.3768



## BeFeHg (SCAN)

Data for a crystal of BeFeHg relaxed with PBEsol.

Results
ΔH_f (0 K) in meV per atom: 345
Space-group type: P-6m2
N(E_F) in states/eV per cell: 2.0
Magnetization in μB per cell: 2.7

Lattice parameters (Å, degrees): 4.0986 4.0986 2.7869 90.00 90.00 120.00
Positions (direct):
1 Be 0.0000 0.0000 0.0000
2 Fe 0.3333 0.6667 0.5000
3 Hg 0.6667 0.3333 0.0000



## K4MoAu (SCAN)

Data for a crystal of K4MoAu relaxed with PBEsol.

Results
ΔH_f (0 K) in meV per atom: 969
Space-group type: F-43m
N(E_F) in states/eV per cell: 2.4
Magnetization in μB per cell: 5.5

Lattice parameters (Å, degrees): 6.8335 6.8335 6.8335 60.00 60.00 60.00
Positions (direct):
1 K 0.1242 0.1242 0.1242
2 K 0.1242 0.1242 0.6274
3 K 0.1242 0.6274 0.1242
4 K 0.6274 0.1242 0.1242
5 Mo 0.5000 0.5000 0.5000
6 Au 0.7500 0.7500 0.7500



## ZrSbPb (SCAN)

Data for a crystal of ZrSbPb relaxed with PBEsol.

Results
Space-group type: P-6m2
N(E_F) in states/eV per cell: 3.0
Energy relative to the elements, uncorrected in kJ/mol of atoms: -5
Magnetization in μB per cell: 0.0

Lattice parameters (Å, degrees): 5.1512 5.1512 3.2009 90.00 90.00 120.00
Positions (direct):
1 Zr 0.0000 0.0000 0.0000
2 Sb 0.6667 0.3333 0.0000
3 Pb 0.3333 0.6667 0.5000



## YCr2Cl (SCAN)

Data for a crystal of YCr2Cl relaxed with PBEsol.

Results
Space-group type: R-3m
N(E_F) in states/eV per cell: 1.6
Energy relative to the elements, uncorrected in kJ/mol of atoms: -1
Magnetization in μB per cell: 8.1

Lattice parameters (Å, degrees): 8.8672 8.8672 8.8672 21.28 21.28 21.28
Positions (direct):
1 Y 0.0000 0.0000 0.0000
2 Cr 0.2408 0.2408 0.2408
3 Cr 0.7592 0.7592 0.7592
4 Cl 0.5000 0.5000 0.5000



## ScBe3O (SCAN)

Data for a crystal of ScBe3O relaxed with PBEsol.

Results
Space-group type: Pm-3m
N(E_F) in states/eV per cell: 1.0
Energy relative to the elements, uncorrected in kJ/mol of atoms: -10
Magnetization in μB per cell: 0.0

Lattice parameters (Å, degrees): 3.8071 3.8071 3.8071 90.00 90.00 90.00
Positions (direct):
1 Sc 0.0000 0.0000 0.0000
2 Be 0.0000 0.5000 0.5000
3 Be 0.5000 0.0000 0.5000
4 Be 0.5000 0.5000 0.0000
5 O 0.5000 0.5000 0.5000